1.
Compound: V3H2O8
Source: Alexandria via LeMat-Bulk
Functional: meta-GGA SCAN
Structure: PBEsol geometry

Geometry as CIF:
```
data_V3H2O8
_cell_length_a 3.602
_cell_length_b 9.301
_cell_length_c 16.404
_cell_angle_alpha 90.00
_cell_angle_beta 90.34
_cell_angle_gamma 90.00
_symmetry_space_group_name_H-M 'P 1 21/c 1'
_symmetry_Int_Tables_number 14
_symmetry_space_group_name_Hall '-P 2ybc'
loop_
_atom_site_label
_atom_site_fract_x
_atom_site_fract_y
_atom_site_fract_z
V1 0.239 0.075 0.152
V2 0.253 0.124 0.953
V3 0.258 0.092 0.551
H1 0.057 0.665 0.741
H2 0.427 0.584 0.775
O1 0.216 0.197 0.220
O2 0.247 0.572 0.541
O3 0.247 0.581 0.981
O4 0.249 0.225 0.407
O5 0.251 0.209 0.061
O6 0.255 0.528 0.367
O7 0.261 0.597 0.726
O8 0.278 0.046 0.645
```

E_tot, eV per atom: -10.5872
Density, g/cm³: 3.4



2.
Compound: VHO2
Source: Alexandria via LeMat-Bulk
Functional: meta-GGA SCAN
Structure: PBEsol geometry

Geometry as CIF:
```
data_VHO2
_cell_length_a 9.922
_cell_length_b 2.916
_cell_length_c 4.570
_cell_angle_alpha 90.00
_cell_angle_beta 90.00
_cell_angle_gamma 90.00
_symmetry_space_group_name_H-M 'P n m a'
_symmetry_Int_Tables_number 62
_symmetry_space_group_name_Hall '-P 2ac 2n'
loop_
_atom_site_label
_atom_site_fract_x
_atom_site_fract_y
_atom_site_fract_z
V1 0.141 0.250 0.063
H1 0.097 0.750 0.596
O1 0.057 0.750 0.801
O2 0.198 0.750 0.319
```

E_tot, eV per atom: -10.4212
Density, g/cm³: 4.2



3.
Compound: VHO3
Source: Alexandria via LeMat-Bulk
Functional: meta-GGA SCAN
Structure: PBEsol geometry

Geometry as CIF:
```
data_VHO3
_cell_length_a 5.334
_cell_length_b 8.914
_cell_length_c 8.074
_cell_angle_alpha 90.00
_cell_angle_beta 107.62
_cell_angle_gamma 90.00
_symmetry_space_group_name_H-M 'P 1 21/m 1'
_symmetry_Int_Tables_number 11
_symmetry_space_group_name_Hall '-P 2yb'
loop_
_atom_site_label
_atom_site_fract_x
_atom_site_fract_y
_atom_site_fract_z
V1 0.039 0.066 0.329
V2 0.399 0.750 0.528
H1 0.279 0.156 0.908
H2 0.493 0.250 0.842
O1 0.083 0.750 0.745
O2 0.098 0.036 0.840
O3 0.145 0.598 0.501
O4 0.361 0.111 0.340
O5 0.404 0.250 0.936
O6 0.452 0.750 0.343
```

E_tot, eV per atom: -9.9444
Density, g/cm³: 2.7



4.
Compound: VZn2HO5
Source: Alexandria via LeMat-Bulk
Functional: meta-GGA SCAN
Structure: PBEsol geometry

Geometry as CIF:
```
data_VZn2HO5
_cell_length_a 14.550
_cell_length_b 5.996
_cell_length_c 8.868
_cell_angle_alpha 90.00
_cell_angle_beta 90.00
_cell_angle_gamma 90.00
_symmetry_space_group_name_H-M 'P n m a'
_symmetry_Int_Tables_number 62
_symmetry_space_group_name_Hall '-P 2ac 2n'
loop_
_atom_site_label
_atom_site_fract_x
_atom_site_fract_y
_atom_site_fract_z
V1 0.075 0.250 0.187
V2 0.160 0.750 0.519
Zn1 0.075 0.250 0.588
Zn2 0.140 0.505 0.873
Zn3 0.210 0.750 0.154
H1 0.003 0.750 0.147
H2 0.211 0.250 0.392
O1 0.041 0.750 0.841
O2 0.058 0.750 0.436
O3 0.061 0.250 0.816
O4 0.103 0.250 0.373
O5 0.122 0.011 0.109
O6 0.168 0.511 0.630
O7 0.223 0.750 0.926
O8 0.245 0.750 0.372
```

E_tot, eV per atom: -10.7114
Density, g/cm³: 4.5



5.
Compound: H2W2O7
Source: Alexandria via LeMat-Bulk
Functional: meta-GGA SCAN
Structure: PBEsol geometry

Geometry as CIF:
```
data_H2W2O7
_cell_length_a 10.202
_cell_length_b 10.241
_cell_length_c 10.379
_cell_angle_alpha 90.00
_cell_angle_beta 90.00
_cell_angle_gamma 90.00
_symmetry_space_group_name_H-M 'F d d 2'
_symmetry_Int_Tables_number 43
_symmetry_space_group_name_Hall 'F 2 -2d'
loop_
_atom_site_label
_atom_site_fract_x
_atom_site_fract_y
_atom_site_fract_z
H1 0.058 0.452 0.000
W1 0.110 0.360 0.447
O1 0.000 0.000 0.253
O2 0.000 0.000 0.558
O3 0.000 0.000 0.893
O4 0.007 0.183 0.073
O5 0.065 0.243 0.323
```

E_tot, eV per atom: -19.1208
Density, g/cm³: 5.9



6.
Compound: ZrH3O
Source: Alexandria via LeMat-Bulk
Functional: meta-GGA SCAN
Structure: PBEsol geometry

Geometry as CIF:
```
data_ZrH3O
_cell_length_a 3.324
_cell_length_b 3.324
_cell_length_c 3.324
_cell_angle_alpha 90.00
_cell_angle_beta 90.00
_cell_angle_gamma 90.00
_symmetry_space_group_name_H-M 'P m -3 m'
_symmetry_Int_Tables_number 221
_symmetry_space_group_name_Hall '-P 4 2 3'
loop_
_atom_site_label
_atom_site_fract_x
_atom_site_fract_y
_atom_site_fract_z
Zr1 0.000 0.000 0.000
H1 0.000 0.500 0.500
O1 0.500 0.500 0.500
```

E_tot, eV per atom: -9.0027
Density, g/cm³: 5.0



density of number 1 (V3H2O8)?
3.4 g/cm³



Which formula does entry 6 have?
ZrH3O



Which value of E_tot does entry 3 give?
-9.9444 eV per atom